w | TlSbPd: optimized geometry, PBE.

Cell: 6.380 3.643 3.643 Å, 120.00 90.00 90.00°
Element x y z (fractional)
Sb 0.278 0.333 0.667
Tl 0.699 0.667 0.333
Pd 0.022 0.000 0.000

Output
Size of the total moment (μB/f.u.): 0.000
DOS(E_F) (states/eV/f.u.): 1.39
SG: P3m1, No. 156

---

x | TlSbPd: optimized geometry, PBE.

Cell: 7.179 6.159 7.301 Å, 86.53 90.00 90.00°
Element x y z (fractional)
Tl 0.501 0.729 0.656
Tl 0.001 0.771 0.344
Tl 0.499 0.271 0.344
Tl 0.999 0.229 0.656
Sb 0.499 0.802 0.165
Sb 0.999 0.698 0.835
Sb 0.501 0.198 0.835
Sb 0.001 0.302 0.165
Pd 0.298 0.500 0.999
Pd 0.798 0.000 0.001
Pd 0.702 0.500 0.001
Pd 0.202 0.000 0.999

Output
Size of the total moment (μB/f.u.): 0.000
DOS(E_F) (states/eV/f.u.): 1.05
SG: P2_1/c, No. 14

---

Result of the stability comparison: w is the least stable of them.

---

w | TlSbPd: optimized geometry, PBE.

Cell: 4.699 4.699 4.699 Å, 60.00 60.00 60.00°
Element x y z (fractional)
Sb 0.000 0.000 0.000
Tl 0.500 0.500 0.500
Pd 0.250 0.250 0.250

Output
Size of the total moment (μB/f.u.): 0.000
DOS(E_F) (states/eV/f.u.): 1.38
SG: F-43m, No. 216

---

x | TlSbPd: optimized geometry, PBE.

Cell: 3.362 3.362 7.034 Å, 103.83 103.83 90.00°
Element x y z (fractional)
Sb 0.291 0.291 0.581
Tl 0.023 0.023 0.047
Pd 0.686 0.686 0.372

Output
Size of the total moment (μB/f.u.): 0.000
DOS(E_F) (states/eV/f.u.): 1.55
SG: I4mm, No. 107

---

Result of the stability comparison: x is the least stable of them.

---

w | Tl2Sb2Pd: optimized geometry, PBE.

Cell: 7.422 7.422 5.128 Å, 90.00 90.00 90.00°
Element x y z (fractional)
Sb 0.135 0.635 0.500
Sb 0.635 0.865 0.500
Sb 0.865 0.365 0.500
Sb 0.365 0.135 0.500
Tl 0.329 0.829 0.000
Tl 0.829 0.671 0.000
Tl 0.671 0.171 0.000
Tl 0.171 0.329 0.000
Pd 0.000 0.000 0.000
Pd 0.500 0.500 0.000

Output
Size of the total moment (μB/f.u.): 0.000
DOS(E_F) (states/eV/f.u.): 3.24
SG: P4/mbm, No. 127

---

x | Tl2Sb2Pd: optimized geometry, PBE.

Cell: 4.146 4.146 10.609 Å, 78.73 78.73 60.00°
Element x y z (fractional)
Tl 0.448 0.448 0.656
Tl 0.552 0.552 0.344
Sb 0.708 0.708 0.877
Sb 0.292 0.292 0.123
Pd 0.000 0.000 0.000

Output
Size of the total moment (μB/f.u.): 0.000
DOS(E_F) (states/eV/f.u.): 2.93
SG: R-3m, No. 166

---

y | Tl2Sb2Pd: optimized geometry, PBE.

Cell: 4.078 4.078 9.451 Å, 77.54 77.54 90.00°
Element x y z (fractional)
Sb 0.750 0.250 0.500
Sb 0.250 0.750 0.500
Tl 0.414 0.414 0.172
Tl 0.586 0.586 0.828
Pd 0.000 0.000 0.000

Output
Size of the total moment (μB/f.u.): 0.000
DOS(E_F) (states/eV/f.u.): 4.18
SG: I4/mmm, No. 139

---

Result of the stability comparison: y is the least stable of them.

---

w | Tl2SbPd3: optimized geometry, PBE.

Cell: 6.611 5.773 9.327 Å, 127.98 110.76 90.00°
Element x y z (fractional)
Tl 0.859 0.666 0.416
Tl 0.557 0.166 0.416
Tl 0.443 0.834 0.584
Tl 0.141 0.334 0.584
Sb 0.728 0.750 0.000
Sb 0.272 0.250 0.000
Pd 0.677 0.250 0.000
Pd 0.323 0.750 0.000
Pd 0.116 0.231 0.231
Pd 0.885 0.269 0.769
Pd 0.115 0.731 0.231
Pd 0.884 0.769 0.769

Output
Size of the total moment (μB/f.u.): 0.000
DOS(E_F) (states/eV/f.u.): 3.03
SG: C2/c, No. 15

---

x | Tl2SbPd3: optimized geometry, PBE.

Cell: 4.374 7.568 8.002 Å, 104.17 90.00 90.00°
Element x y z (fractional)
Tl 0.250 0.798 0.546
Tl 0.750 0.202 0.454
Tl 0.750 0.050 0.853
Tl 0.250 0.950 0.147
Sb 0.250 0.526 0.810
Sb 0.750 0.474 0.190
Pd 0.750 0.582 0.616
Pd 0.250 0.418 0.384
Pd 0.750 0.828 0.338
Pd 0.250 0.172 0.662
Pd 0.250 0.287 0.023
Pd 0.750 0.713 0.977

Output
Size of the total moment (μB/f.u.): 0.000
DOS(E_F) (states/eV/f.u.): 2.46
SG: P2_1/m, No. 11

---

Result of the stability comparison: x is the least stable of them.